# Er3SiPb

A relaxed structure of Er3SiPb (GGA-PBE, Alexandria via LeMat-Bulk).

abc: 4.5559 6.8256 8.8488
angles: 90.00 90.00 90.00
With the nearest neighbours (Å) after each atom.
Space group Pmmn (No. 59, origin choice 2)
Asymmetric unit:
Er 0.2500 0.0024 0.1674 (multiplicity 4)  3 Si 2.91-2.92
Er 0.2500 0.2500 0.5771 (multiplicity 2)  1 Si 2.86, 2 Pb 3.03
Si 0.2500 0.2500 0.9002 (multiplicity 2)  7 Er 2.86-2.92
Pb 0.2500 0.7500 0.6482 (multiplicity 2)  6 Er 3.03-3.27

Values from the calculation:
final energy	-50.876	eV for the cell shown



# SrRhN

A relaxed structure of SrRhN (GGA-PBE, Alexandria via LeMat-Bulk).

abc: 3.5372 3.5372 4.7588
angles: 90.00 90.00 120.00
With the nearest neighbours (Å) after each atom.
Space group P3m1 (No. 156)
Asymmetric unit:
Sr 0.0000 0.0000 0.0000 (multiplicity 1)  3 N 2.64
Rh 0.6667 0.3333 0.5304 (multiplicity 1)  3 N 2.12
N 0.3333 0.6667 0.6488 (multiplicity 1)  3 Rh 2.12

Values from the calculation:
final energy	-17.498	eV for the cell shown